{"formula": "LaPmZnCu", "functional": "PBE-GGA", "state": "optimized geometry", "e_form_ev_per_atom": -0.215, "e_above_lowest_polymorph_mev_per_atom": 11.6, "space_group": "F-43m", "cell": [[7.344, 0.000, 0.000], [0.000, 7.344, 0.000], [0.000, 0.000, 7.344]], "species": ["La", "La", "La", "La", "Pm", "Pm", "Pm", "Pm", "Zn", "Zn", "Zn", "Zn", "Cu", "Cu", "Cu", "Cu"], "fractional_positions": [[0.000, 0.000, 0.000], [0.000, 0.500, 0.500], [0.500, 0.000, 0.500], [0.500, 0.500, 0.000], [0.000, 0.000, 0.500], [0.000, 0.500, 0.000], [0.500, 0.000, 0.000], [0.500, 0.500, 0.500], [0.250, 0.250, 0.750], [0.250, 0.750, 0.250], [0.750, 0.250, 0.250], [0.750, 0.750, 0.750], [0.250, 0.250, 0.250], [0.250, 0.750, 0.750], [0.750, 0.250, 0.750], [0.750, 0.750, 0.250]]}

{"formula": "Pr7YEr4", "functional": "PBE-GGA", "state": "optimized geometry", "e_form_ev_per_atom": 0.009, "e_above_lowest_polymorph_mev_per_atom": 0.0, "space_group": "P-1", "cell": [[6.365, 0.000, 0.000], [-0.003, 7.328, 0.000], [-2.113, -0.008, 8.782]], "species": ["Pr", "Pr", "Pr", "Pr", "Pr", "Pr", "Pr", "Y", "Er", "Er", "Er", "Er"], "fractional_positions": [[0.000, 0.000, 0.000], [0.222, 0.500, 0.665], [0.282, 0.751, 0.336], [0.499, 0.246, 0.003], [0.501, 0.754, 0.997], [0.718, 0.249, 0.664], [0.778, 0.500, 0.335], [0.000, 0.500, 0.000], [0.219, 0.000, 0.664], [0.277, 0.246, 0.333], [0.723, 0.754, 0.667], [0.781, 0.000, 0.336]]}

{"formula": "BaUCuS5", "functional": "PBE-GGA", "state": "optimized geometry", "e_form_raw_ev_per_atom": -1.072, "space_group": "C2/c", "cell": [[4.048, -5.746, 0.000], [4.048, 5.746, 0.000], [-3.330, 0.000, 9.162]], "species": ["Ba", "Ba", "U", "U", "Cu", "Cu", "S", "S", "S", "S", "S", "S", "S", "S", "S", "S"], "fractional_positions": [[0.165, 0.835, 0.750], [0.835, 0.165, 0.250], [0.500, 0.500, 0.000], [0.500, 0.500, 0.500], [0.178, 0.822, 0.250], [0.822, 0.178, 0.750], [0.122, 0.239, 0.928], [0.208, 0.623, 0.409], [0.239, 0.122, 0.428], [0.377, 0.792, 0.091], [0.434, 0.566, 0.750], [0.566, 0.434, 0.250], [0.623, 0.208, 0.909], [0.761, 0.878, 0.572], [0.792, 0.377, 0.591], [0.878, 0.761, 0.072]]}

{"formula": "SiSnBAu2", "functional": "PBE-GGA", "state": "optimized geometry", "e_form_raw_ev_per_atom": 0.511, "space_group": "P4/mmm", "cell": [[5.060, 0.000, 0.000], [0.000, 5.060, 0.000], [0.000, 0.000, 3.801]], "species": ["Si", "Sn", "B", "Au", "Au"], "fractional_positions": [[0.000, 0.000, 0.000], [0.500, 0.500, 0.500], [0.000, 0.000, 0.500], [0.000, 0.500, 0.000], [0.500, 0.000, 0.000]]}

| no. | magnetization (μB per cell) |
| --- | --- |
| 1 | 0.00 |
| 2 | 0.00 |
| 3 | 0.00 |
| 4 | 0.00 |